A relaxed NaBe2Ge crystal. Source: the Alexandria database, functional PBE.

Values from the calculation:
* electronic total energy: -2.946 eV per atom
* size of the total moment: 0.00 μB per formula unit
* DOS at the Fermi energy: 2.97 states/eV/cell
* ΔE_f: 0.401 eV/atom
* crystal system: tetragonal

abc: 4.5046 4.5046 8.1329
angles: 73.92 73.92 90.00
Fractional coordinates of all 8 atoms:
Na  0.2500  0.7500  0.5000
Na  0.5000  0.5000  0.0000
Ge  0.0000  0.0000  0.0000
Ge  0.7500  0.2500  0.5000
Be  0.8752  0.1250  0.2500
Be  0.8748  0.6250  0.2500
Be  0.3750  0.1248  0.7500
Be  0.8750  0.1252  0.7500

---

A relaxed NaBeGe crystal. Source: the Alexandria database, functional PBE.

Values from the calculation:
* electronic total energy: -3.089 eV per atom
* size of the total moment: 0.00 μB per formula unit
* DOS at the Fermi energy: 0.75 states/eV/cell
* ΔE_f: 0.132 eV/atom
* crystal system: hexagonal

abc: 4.0575 4.0028 4.0028
angles: 120.00 90.00 90.00
Fractional coordinates of all 3 atoms:
Be  0.1663  0.6667  0.3333
Na  0.6671  0.3333  0.6667
Ge  0.1666  0.0000  0.0000

---

A relaxed NaBe2Ge2 crystal. Source: the Alexandria database, functional PBE.

Values from the calculation:
* electronic total energy: -3.575 eV per atom
* size of the total moment: 0.00 μB per formula unit
* DOS at the Fermi energy: 0.99 states/eV/cell
* ΔE_f: 0.026 eV/atom
* crystal system: tetragonal

abc: 3.9121 3.9121 5.8092
angles: 70.32 70.32 90.00
Fractional coordinates of all 5 atoms:
Ge  0.6232  0.6232  0.7536
Ge  0.3768  0.3768  0.2464
Na  0.0000  0.0000  0.0000
Be  0.7500  0.2500  0.5000
Be  0.2500  0.7500  0.5000

---

A relaxed NaBeGeO4 crystal. Source: the Alexandria database, functional PBE.

Values from the calculation:
* electronic total energy: -5.960 eV per atom
* size of the total moment: 1.00 μB per formula unit
* DOS at the Fermi energy: 4.94 states/eV/cell
* crystal system: tetragonal

abc: 4.9455 4.9455 5.1999
angles: 118.39 118.39 90.00
Fractional coordinates of all 7 atoms:
O  0.8957  0.4931  0.2473
O  0.3515  0.7542  0.2473
O  0.2458  0.1043  0.7527
O  0.5069  0.6485  0.7527
Be  0.2500  0.7500  0.5000
Na  0.0000  0.0000  0.0000
Ge  0.5000  0.5000  0.0000

---

A relaxed NaBe2GeO4 crystal. Source: the Alexandria database, functional PBE.

Values from the calculation:
* electronic total energy: -5.930 eV per atom
* size of the total moment: 0.69 μB per formula unit
* DOS at the Fermi energy: 2.48 states/eV/cell
* crystal system: tetragonal

abc: 4.2705 4.2705 5.4045
angles: 113.27 113.27 90.01
Fractional coordinates of all 8 atoms:
O  0.1148  0.1148  0.6874
O  0.4274  0.8853  0.3127
O  0.8853  0.4274  0.3127
O  0.5727  0.5727  0.6874
Be  0.7500  0.2500  0.5001
Be  0.2500  0.7500  0.5001
Ge  0.5000  0.5000  0.0000
Na  0.0001  0.0001  0.0001

---

A relaxed NaBe4Ge3O12 crystal. Source: the Alexandria database, functional PBE.

Values from the calculation:
* electronic total energy: -6.199 eV per atom
* size of the total moment: 3.03 μB per formula unit
* DOS at the Fermi energy: 9.94 states/eV/cell
* crystal system: trigonal

abc: 6.2014 6.2014 6.2014
angles: 106.43 106.43 106.43
Fractional coordinates of all 20 atoms:
Ge  0.5583  0.4417  0.0000
Ge  0.4417  0.0000  0.5583
Ge  0.0000  0.5583  0.4417
Be  0.0626  0.5000  0.9374
Be  0.5000  0.5000  0.5000
Be  0.9374  0.0626  0.5000
Be  0.5000  0.9374  0.0626
O  0.5000  0.3430  0.6570
O  0.3645  0.9589  0.2361
O  0.6570  0.5000  0.3430
O  0.0953  0.9047  0.5000
O  0.5000  0.0953  0.9047
O  0.9047  0.5000  0.0953
O  0.6355  0.7639  0.0411
O  0.3430  0.6570  0.5000
O  0.0411  0.6355  0.7639
O  0.7639  0.0411  0.6355
O  0.9589  0.2361  0.3645
O  0.2361  0.3645  0.9589
Na  0.0000  0.0000  0.0000